# 1
{"formula": "CrSi", "functional": "GGA-PBEsol", "state": "relaxed", "cell": [[2.7272, 0.0000, 0.0000], [-1.3636, 2.3618, 0.0000], [0.0000, 0.0000, 3.6827]], "species": ["Cr", "Si"], "fractional_positions": [[0.0000, 0.0000, 0.0000], [0.3333, 0.6667, 0.5000]], "vol_a3_per_atom": 11.86, "raw_formation_energy_ev_per_atom": -0.22, "dos_at_fermi_per_ev_cell": 2.03}


# 2
{"formula": "CrSi2", "functional": "GGA-PBEsol", "state": "relaxed", "cell": [[4.3650, 0.0000, 0.0000], [-2.1825, 3.7802, 0.0000], [0.0000, 0.0000, 6.3139]], "species": ["Cr", "Cr", "Cr", "Si", "Si", "Si", "Si", "Si", "Si"], "fractional_positions": [[0.0000, 0.5000, 0.1667], [0.5000, 0.0000, 0.5000], [0.5000, 0.5000, 0.8333], [0.1664, 0.3329, 0.5000], [0.1664, 0.8336, 0.8333], [0.3329, 0.1664, 0.1667], [0.6671, 0.8336, 0.1667], [0.8336, 0.1664, 0.8333], [0.8336, 0.6671, 0.5000]], "vol_a3_per_atom": 11.58, "raw_formation_energy_ev_per_atom": -0.47}


# 3
{"formula": "CrSi3Sn", "functional": "GGA-PBEsol", "state": "relaxed", "cell": [[5.0415, 0.0000, 0.0000], [0.0000, 5.0415, 0.0000], [0.0000, 0.0000, 5.0415]], "species": ["Cr", "Si", "Si", "Si", "Sn"], "fractional_positions": [[0.0000, 0.0000, 0.0000], [0.0000, 0.5000, 0.5000], [0.5000, 0.0000, 0.5000], [0.5000, 0.5000, 0.0000], [0.5000, 0.5000, 0.5000]], "vol_a3_per_atom": 25.63, "raw_formation_energy_ev_per_atom": 1.64, "dos_at_fermi_per_ev_cell": 3.10}


# 4
{"formula": "CrSi2Sn", "functional": "GGA-PBEsol", "state": "relaxed", "cell": [[4.1497, 0.0000, 0.0000], [0.0000, 4.1497, 0.0000], [0.0000, 0.0000, 16.5224]], "species": ["Cr", "Cr", "Cr", "Cr", "Si", "Si", "Si", "Si", "Si", "Si", "Si", "Si", "Sn", "Sn", "Sn", "Sn"], "fractional_positions": [[0.0000, 0.0000, 0.0000], [0.0000, 0.5000, 0.2500], [0.5000, 0.0000, 0.7500], [0.5000, 0.5000, 0.5000], [0.1565, 0.2500, 0.1250], [0.2500, 0.6565, 0.3750], [0.2500, 0.8435, 0.8750], [0.3435, 0.2500, 0.6250], [0.6565, 0.7500, 0.6250], [0.7500, 0.1565, 0.8750], [0.7500, 0.3435, 0.3750], [0.8435, 0.7500, 0.1250], [0.0000, 0.0000, 0.5000], [0.0000, 0.5000, 0.7500], [0.5000, 0.0000, 0.2500], [0.5000, 0.5000, 0.0000]], "vol_a3_per_atom": 17.78, "raw_formation_energy_ev_per_atom": 0.38, "dos_at_fermi_per_ev_cell": 10.59}


Result set for calculated density: 5.6, 5.2, 3.3, 5.3 g cm⁻³, one per record in the order listed.